1.
A plane-wave DFT calculation with GGA-PBE was carried out for Ag2P2Au after structural relaxation.

## Properties
Space-group type: I4/mmm, No. 139
E above lowest polymorph: 0.1260 eV/atom

CIF file:
```
data_Ag2P2Au
_chemical_formula_sum 'Ag2 P2 Au1'
_cell_length_a 3.364
_cell_length_b 3.364
_cell_length_c 8.265
_cell_angle_alpha 78.26
_cell_angle_beta 78.26
_cell_angle_gamma 90.00
_space_group_name_H-M_alt 'P 1'
_space_group_IT_number 1
loop_
_space_group_symop_operation_xyz
'x,y,z'
loop_
_atom_site_label
_atom_site_type_symbol
_atom_site_fract_x
_atom_site_fract_y
_atom_site_fract_z
Ag1 Ag 0.601 0.601 0.799
Ag2 Ag 0.399 0.399 0.201
Au1 Au 0.000 0.000 0.000
P1 P 0.750 0.250 0.500
P2 P 0.250 0.750 0.500
```

2.
A plane-wave DFT calculation with GGA-PBE was carried out for Ag2PAu after structural relaxation.

## Properties
Space-group type: R3m, No. 160

CIF file:
```
data_Ag2PAu
_chemical_formula_sum 'Ag2 P1 Au1'
_cell_length_a 8.900
_cell_length_b 8.900
_cell_length_c 8.900
_cell_angle_alpha 19.71
_cell_angle_beta 19.71
_cell_angle_gamma 19.71
_space_group_name_H-M_alt 'P 1'
_space_group_IT_number 1
loop_
_space_group_symop_operation_xyz
'x,y,z'
loop_
_atom_site_label
_atom_site_type_symbol
_atom_site_fract_x
_atom_site_fract_y
_atom_site_fract_z
Ag1 Ag 0.005 0.005 0.005
Ag2 Ag 0.250 0.250 0.250
Au1 Au 0.494 0.494 0.494
P1 P 0.752 0.752 0.752
```

| no. | E_form (eV per atom) |
| --- | --- |
| 1 | 0.2558 |
| 2 | 0.2285 |